## La5SmY6 (PBE)

Data for a relaxed La5SmY6 crystal.

Cell and atoms, written as CIF:
```
data_La5SmY6
_space_group_name_H-M_alt 'I m m m'
_space_group_IT_number 71
_space_group_name_Hall '-I 2 2'
_cell_length_a 5.2390
_cell_length_b 10.0471
_cell_length_c 15.6550
_cell_angle_alpha 90.00
_cell_angle_beta 90.00
_cell_angle_gamma 90.00
loop_
_atom_site_label
_atom_site_fract_x
_atom_site_fract_y
_atom_site_fract_z
La1 0.0000 0.0000 0.0000
La2 0.0000 0.0000 0.3348
La3 0.0000 0.5000 0.3330
Sm1 0.0000 0.5000 0.0000
Y1 0.0000 0.2491 0.5000
Y2 0.0000 0.2506 0.1661
```

Properties
Crystal system: orthorhombic

=====

## La8Sm6Y (PBE)

Data for a relaxed La8Sm6Y crystal.

Cell and atoms, written as CIF:
```
data_La8Sm6Y
_space_group_name_H-M_alt 'P -3'
_space_group_IT_number 147
_cell_length_a 9.5607
_cell_length_b 9.5607
_cell_length_c 6.7492
_cell_angle_alpha 90.00
_cell_angle_beta 90.00
_cell_angle_gamma 120.00
loop_
_space_group_symop_operation_xyz
'x,y,z'
'-x,-y,-z'
'-y,x-y,z'
'y,-x+y,-z'
'-x+y,-x,z'
'x-y,x,-z'
loop_
_atom_site_label
_atom_site_fract_x
_atom_site_fract_y
_atom_site_fract_z
La1 0.0363 0.2910 0.3361
La2 0.3333 0.6667 0.3837
Sm1 0.0914 0.4309 0.8495
Y1 0.0000 0.0000 0.0000
```

Properties
Crystal system: trigonal

=====

These records have E_form values of 0.27 2.27 eV per formula unit, in the order they appear.